Entry 1:
Compound: PrTmRh
Source: the Alexandria database
Functional: PBE
Structure: optimized geometry

a b c (Å): 6.2098 4.0793 4.0793
angles (deg): 120.00 90.00 90.00
Closest atoms and distances in Å follow each position.
Sites, in units of the cell vectors:
Rh 0.0137 0.0000 0.0000  3 Tm 2.72, 3 Pr 2.86
Tm 0.2330 0.3333 0.6667  3 Rh 2.72
Pr 0.7533 0.6667 0.3333  3 Rh 2.86

D(E_F): 2.77 states/eV per cell
Total moment: 0.00 μB per cell
SG: No. 156
Formation enthalpy at 0 K: -1.4 eV per formula unit
Mass density: 7659 kg/m³


Entry 2:
Compound: Li4Cu3Pd
Source: the Alexandria database
Functional: PBE
Structure: optimized geometry

a b c (Å): 5.2278 7.5516 5.3343
angles (deg): 90.00 90.00 90.00
Closest atoms and distances in Å follow each position.
Sites, in units of the cell vectors:
Li 0.7498 0.0646 0.2599  6 Li 2.61-2.68, 2 Pd 2.63, 4 Cu 2.64-2.69
Li 0.2502 0.0646 0.2599  6 Li 2.61-2.68, 2 Pd 2.63, 4 Cu 2.64-2.69
Li 0.5000 0.8142 0.4999  2 Pd 2.61, 6 Li 2.63-2.67, 4 Cu 2.69-2.70
Li 0.0000 0.3142 0.5001  2 Pd 2.61, 6 Li 2.63-2.67, 4 Cu 2.69-2.70
Li 0.5000 0.8142 0.0000  6 Cu 2.61-2.62, 6 Li 2.67-2.68
Li 0.0000 0.3142 0.0000  6 Cu 2.61-2.62, 6 Li 2.67-2.68
Li 0.7502 0.5646 0.7401  6 Li 2.61-2.68, 2 Pd 2.63, 4 Cu 2.64-2.69
Li 0.2498 0.5646 0.7401  6 Li 2.61-2.68, 2 Pd 2.63, 4 Cu 2.64-2.69
Cu 0.0000 0.8146 0.0001  6 Li 2.61-2.68, 4 Cu 2.62, 2 Pd 2.67
Cu 0.5000 0.3146 0.9999  6 Li 2.61-2.68, 4 Cu 2.62, 2 Pd 2.67
Cu 0.7501 0.5643 0.2357  4 Cu 2.61-2.62, 6 Li 2.62-2.70, 2 Pd 2.69-2.70
Cu 0.2501 0.0643 0.7643  4 Cu 2.61-2.62, 6 Li 2.62-2.70, 2 Pd 2.69-2.70
Cu 0.2499 0.5643 0.2357  4 Cu 2.61-2.62, 6 Li 2.62-2.70, 2 Pd 2.69-2.70
Cu 0.7499 0.0643 0.7643  4 Cu 2.61-2.62, 6 Li 2.62-2.70, 2 Pd 2.69-2.70
Pd 0.5000 0.3146 0.5000  6 Li 2.61-2.63, 6 Cu 2.67-2.70
Pd 0.0000 0.8146 0.5000  6 Li 2.61-2.63, 6 Cu 2.67-2.70

D(E_F): 3.42 states/eV per cell
Total moment: 0.00 μB per cell
SG: No. 53
Formation enthalpy at 0 K: -1.1 eV per formula unit
Mass density: 5123 kg/m³


Entry 3:
Compound: Pm2TcGe
Source: the Alexandria database
Functional: PBE
Structure: optimized geometry

a b c (Å): 3.8071 4.8963 4.8963
angles (deg): 90.00 90.00 90.00
Closest atoms and distances in Å follow each position.
Sites, in units of the cell vectors:
Ge 0.5000 0.0000 0.0000  8 Pm 3.10, 4 Tc 3.46
Pm 0.0000 0.5000 0.0000  4 Ge 3.10, 4 Tc 3.10, 4 Pm 3.46
Pm 0.0000 0.0000 0.5000  4 Ge 3.10, 4 Tc 3.10, 4 Pm 3.46
Tc 0.5000 0.5000 0.5000  8 Pm 3.10, 4 Ge 3.46

D(E_F): 2.72 states/eV per cell
Total moment: 0.00 μB per cell
SG: No. 123
Formation enthalpy at 0 K: -0.7 eV per formula unit
Mass density: 8381 kg/m³


Entry 4:
Compound: TiTe3Pd
Source: the Alexandria database
Functional: PBE
Structure: optimized geometry

a b c (Å): 5.2687 5.2687 5.2687
angles (deg): 90.00 90.00 90.00
Closest atoms and distances in Å follow each position.
Sites, in units of the cell vectors:
Te 0.0000 0.5000 0.0000  2 Ti 2.63
Te 0.0000 0.0000 0.5000  2 Ti 2.63
Te 0.5000 0.0000 0.0000  2 Ti 2.63
Pd 0.5000 0.5000 0.5000  12 Te 3.73
Ti 0.0000 0.0000 0.0000  6 Te 2.63

D(E_F): 4.18 states/eV per cell
Total moment: 0.00 μB per cell
Formation energy without anion corrections: 229 meV per atom
SG: No. 221
Mass density: 6098 kg/m³


Entry 5:
Compound: MgNpAgCl6
Source: the Alexandria database
Functional: PBE
Structure: optimized geometry

a b c (Å): 6.7651 6.7651 12.0978
angles (deg): 90.00 90.00 120.00
Closest atoms and distances in Å follow each position.
Sites, in units of the cell vectors:
Mg 0.6667 0.3333 0.7500  6 Cl 2.54
Mg 0.3333 0.6667 0.2500  6 Cl 2.54
Cl 0.3372 0.9762 0.1303  1 Mg 2.54, 1 Np 2.74
Cl 0.6390 0.9762 0.3697  1 Mg 2.54, 1 Np 2.74
Cl 0.6628 0.0238 0.8697  1 Mg 2.54, 1 Np 2.74
Cl 0.0238 0.6628 0.3697  1 Mg 2.54, 1 Np 2.74
Cl 0.6628 0.6390 0.6303  1 Mg 2.54, 1 Np 2.74
Cl 0.0238 0.3610 0.1303  1 Mg 2.54, 1 Np 2.74
Cl 0.6390 0.6628 0.1303  1 Mg 2.54, 1 Np 2.74
Cl 0.9762 0.3372 0.6303  1 Mg 2.54, 1 Np 2.74
Cl 0.9762 0.6390 0.8697  1 Mg 2.54, 1 Np 2.74
Cl 0.3610 0.3372 0.8697  1 Mg 2.54, 1 Np 2.74
Cl 0.3610 0.0238 0.6303  1 Mg 2.54, 1 Np 2.74
Cl 0.3372 0.3610 0.3697  1 Mg 2.54, 1 Np 2.74
Np 0.3333 0.6667 0.7500  6 Cl 2.74
Np 0.6667 0.3333 0.2500  6 Cl 2.74
Ag 0.0000 0.0000 0.0000  6 Cl 2.84
Ag 0.0000 0.0000 0.5000  6 Cl 2.84

D(E_F): 17.24 states/eV per cell
Total moment: 8.00 μB per cell
Formation energy without anion corrections: -1440 meV per atom
SG: No. 163
Mass density: 4030 kg/m³


Entry 6:
Compound: Ho6Te3P2C
Source: the Alexandria database
Functional: PBE
Structure: optimized geometry

a b c (Å): 6.9610 6.9610 7.3392
angles (deg): 99.08 99.08 119.96
Closest atoms and distances in Å follow each position.
Sites, in units of the cell vectors:
Ho 0.2405 0.2405 0.7941  1 C 2.59, 2 P 2.80
Ho 0.9335 0.6249 0.8002  1 C 2.56, 2 P 2.78-2.79
Ho 0.6249 0.9335 0.8002  1 C 2.56, 2 P 2.78-2.79
Ho 0.0665 0.3751 0.1998  1 C 2.56, 2 P 2.78-2.79
Ho 0.3751 0.0665 0.1998  1 C 2.56, 2 P 2.78-2.79
Ho 0.7595 0.7595 0.2059  1 C 2.59, 2 P 2.80
Te 0.1737 0.8263 0.5000  6 Ho 3.07-3.20
Te 0.5000 0.5000 0.5000  6 Ho 3.07-3.22
Te 0.8263 0.1737 0.5000  6 Ho 3.07-3.20
P 0.3343 0.6657 0.0000  6 Ho 2.78-2.80
P 0.6657 0.3343 0.0000  6 Ho 2.78-2.80
C 0.0000 0.0000 0.0000  6 Ho 2.56-2.59

D(E_F): 3.28 states/eV per cell
Total moment: 0.00 μB per cell
Formation energy without anion corrections: -1323 meV per atom
SG: No. 12
Mass density: 8214 kg/m³


Entry 7:
Compound: Cd2MoRu
Source: the Alexandria database
Functional: PBE
Structure: optimized geometry

a b c (Å): 4.6886 4.6886 4.6886
angles (deg): 123.37 123.37 84.26
Closest atoms and distances in Å follow each position.
Sites, in units of the cell vectors:
Ru 0.7500 0.2500 0.5000  8 Cd 2.82-3.15, 4 Mo 2.82
Cd 0.2500 0.7500 0.5000  4 Cd 2.82, 4 Mo 2.82, 4 Ru 3.15
Cd 0.0000 0.0000 0.0000  4 Cd 2.82, 4 Ru 2.82, 4 Mo 3.15
Mo 0.5000 0.5000 0.0000  4 Ru 2.82, 8 Cd 2.82-3.15

D(E_F): 0.97 states/eV per cell
Total moment: 0.00 μB per cell
SG: No. 119
Formation enthalpy at 0 K: 1.7 eV per formula unit
Mass density: 10182 kg/m³


Entry 8:
Compound: Sm2TmAg
Source: the Alexandria database
Functional: PBE
Structure: optimized geometry

a b c (Å): 3.7123 6.5240 9.9704
angles (deg): 90.00 90.00 106.56
Closest atoms and distances in Å follow each position.
Sites, in units of the cell vectors:
Sm 0.6310 0.2614 0.4504  3 Ag 3.10-3.35, 1 Sm 3.42
Sm 0.3690 0.7386 0.9504  3 Ag 3.10-3.35, 1 Sm 3.42
Sm 0.3690 0.7386 0.5496  3 Ag 3.10-3.35, 1 Sm 3.42
Sm 0.6310 0.2614 0.0496  3 Ag 3.10-3.35, 1 Sm 3.42
Tm 0.0557 0.1115 0.7500  2 Ag 3.07
Tm 0.9443 0.8885 0.2500  2 Ag 3.07
Ag 0.2491 0.4975 0.2500  2 Tm 3.07, 6 Sm 3.10-3.35
Ag 0.7509 0.5025 0.7500  2 Tm 3.07, 6 Sm 3.10-3.35

D(E_F): 10.93 states/eV per cell
Total moment: 0.00 μB per cell
SG: No. 63
Formation enthalpy at 0 K: -0.5 eV per formula unit
Mass density: 8286 kg/m³